Record 1
The following is a DFT calculation (PBE) of a relaxed structure of TlPW2.

Values from the calculation:
ρ in g cm⁻³: 12.36
Energy in eV/atom: -7.87
Total magnetic moment in μB/cell: 0.00
Polymorph energy (0 for the lowest one) in meV/atom: 277

a b c (Å): 4.495 4.495 6.159
angles (deg): 99.22 99.22 41.34
Atoms (fractional coordinates):
Tl: 0.000 0.000 0.000
P: 0.207 0.207 0.609
W: 0.477 0.477 0.528
W: 0.762 0.762 0.316


Record 2
The following is a DFT calculation (PBE) of a relaxed structure of Er2MgSc6.

Values from the calculation:
ρ in g cm⁻³: 4.19
Energy in eV/atom: -5.05
Total magnetic moment in μB/cell: 0.22
Polymorph energy (0 for the lowest one) in meV/atom: 285

a b c (Å): 8.782 8.782 8.782
angles (deg): 144.42 140.43 54.26
Atoms (fractional coordinates):
Er: 0.106 0.106 0.000
Er: 0.894 0.894 0.000
Mg: 0.500 0.000 0.500
Sc: 0.054 0.302 0.752
Sc: 0.242 0.500 0.742
Sc: 0.450 0.698 0.752
Sc: 0.550 0.302 0.248
Sc: 0.758 0.500 0.258
Sc: 0.946 0.698 0.248